Material: AcNdAs2
Method: DFT, PBE-GGA
State: optimized geometry

Cell and atoms, written as CIF:
```
data_AcNdAs2
_chemical_formula_sum 'Ac4 Nd4 As8'
_space_group_name_H-M_alt 'F m -3 m'
_space_group_IT_number 225
_space_group_name_Hall '-F 4 2 3'
_cell_length_a 7.569
_cell_length_b 7.569
_cell_length_c 7.569
_cell_angle_alpha 90.00
_cell_angle_beta 90.00
_cell_angle_gamma 90.00
loop_
_atom_site_label
_atom_site_fract_x
_atom_site_fract_y
_atom_site_fract_z
_atom_site_occupancy
Ac1 0.000 0.000 0.000 1
Nd1 0.000 0.000 0.500 1
As1 0.250 0.250 0.250 1
```

Properties
Total magnetic moment, μB per formula unit: 0.0
E_form, meV per atom: -1092
Energy relative to the lowest polymorph listed for this composition, meV per atom: 389



Material: AcNdAs4
Method: DFT, PBE-GGA
State: optimized geometry

Cell and atoms, written as CIF:
```
data_AcNdAs4
_chemical_formula_sum 'Ac4 Nd4 As16'
_space_group_name_H-M_alt 'F -4 3 m'
_space_group_IT_number 216
_space_group_name_Hall 'F -4 2 3'
_cell_length_a 8.300
_cell_length_b 8.300
_cell_length_c 8.300
_cell_angle_alpha 90.00
_cell_angle_beta 90.00
_cell_angle_gamma 90.00
loop_
_atom_site_label
_atom_site_fract_x
_atom_site_fract_y
_atom_site_fract_z
_atom_site_occupancy
Ac1 0.000 0.000 0.000 1
Nd1 0.250 0.250 0.750 1
As1 0.124 0.124 0.376 1
```

Properties
Total magnetic moment, μB per formula unit: 0.0
E_form, meV per atom: -477



Material: Ac2NdAs3
Method: DFT, PBE-GGA
State: optimized geometry

Cell and atoms, written as CIF:
```
data_Ac2NdAs3
_chemical_formula_sum 'Ac32 Nd16 As48'
_space_group_name_H-M_alt 'F d d d'
_space_group_IT_number 70
_cell_length_a 8.920
_cell_length_b 12.618
_cell_length_c 26.767
_cell_angle_alpha 90.00
_cell_angle_beta 90.00
_cell_angle_gamma 90.00
loop_
_space_group_symop_operation_xyz
'x,y,z'
'-x,-y,-z'
'-x+1/4,-y+1/4,z'
'x+1/4,y+1/4,-z'
'x,-y+1/4,-z+1/4'
'-x,y+1/4,z+1/4'
'-x+1/4,y,-z+1/4'
'x+1/4,-y,z+1/4'
'x,y+1/2,z+1/2'
'-x,-y+1/2,-z+1/2'
'-x+1/4,-y+3/4,z+1/2'
'x+1/4,y+3/4,-z+1/2'
'x,-y+3/4,-z+3/4'
'-x,y+3/4,z+3/4'
'-x+1/4,y+1/2,-z+3/4'
'x+1/4,-y+1/2,z+3/4'
'x+1/2,y,z+1/2'
'-x+1/2,-y,-z+1/2'
'-x+3/4,-y+1/4,z+1/2'
'x+3/4,y+1/4,-z+1/2'
'x+1/2,-y+1/4,-z+3/4'
'-x+1/2,y+1/4,z+3/4'
'-x+3/4,y,-z+3/4'
'x+3/4,-y,z+3/4'
'x+1/2,y+1/2,z'
'-x+1/2,-y+1/2,-z'
'-x+3/4,-y+3/4,z'
'x+3/4,y+3/4,-z'
'x+1/2,-y+3/4,-z+1/4'
'-x+1/2,y+3/4,z+1/4'
'-x+3/4,y+1/2,-z+1/4'
'x+3/4,-y+1/2,z+1/4'
loop_
_atom_site_label
_atom_site_fract_x
_atom_site_fract_y
_atom_site_fract_z
_atom_site_occupancy
Ac1 0.125 0.125 0.042 1
Ac2 0.125 0.125 0.374 1
Nd1 0.125 0.125 0.541 1
As1 0.115 0.375 0.875 1
As2 0.120 0.370 0.710 1
```

Properties
Total magnetic moment, μB per formula unit: 0.0
E_form, meV per atom: -1475



Material: AcNdNi2As2
Method: DFT, PBE-GGA
State: optimized geometry

Cell and atoms, written as CIF:
```
data_AcNdNi2As2
_chemical_formula_sum 'Ac1 Nd1 Ni2 As2'
_space_group_name_H-M_alt 'P -3 m 1'
_space_group_IT_number 164
_space_group_name_Hall '-P 3 2"'
_cell_length_a 4.1803
_cell_length_b 4.1803
_cell_length_c 8.3685
_cell_angle_alpha 90.00
_cell_angle_beta 90.00
_cell_angle_gamma 120.00
loop_
_atom_site_label
_atom_site_fract_x
_atom_site_fract_y
_atom_site_fract_z
_atom_site_occupancy
Ac1 0.0000 0.0000 0.0000 1
Nd1 0.0000 0.0000 0.5000 1
Ni1 0.3333 0.6667 0.7417 1
As1 0.3333 0.6667 0.2659 1
```

Properties
Total magnetic moment, μB per formula unit: 0.0
E_form, meV per atom: -1009



Material: AcNd2AsO8
Method: DFT, PBE-GGA
State: optimized geometry

Cell and atoms, written as CIF:
```
data_AcNd2AsO8
_chemical_formula_sum 'Ac1 Nd2 As1 O8'
_space_group_name_H-M_alt 'P -3 m 1'
_space_group_IT_number 164
_space_group_name_Hall '-P 3 2"'
_cell_length_a 5.3251
_cell_length_b 5.3251
_cell_length_c 6.8250
_cell_angle_alpha 90.00
_cell_angle_beta 90.00
_cell_angle_gamma 120.00
loop_
_atom_site_label
_atom_site_fract_x
_atom_site_fract_y
_atom_site_fract_z
_atom_site_occupancy
Ac1 0.0000 0.0000 0.0000 1
Nd1 0.3333 0.6667 0.3696 1
As1 0.0000 0.0000 0.5000 1
O1 0.1614 0.3227 0.6584 1
O2 0.3333 0.6667 0.0488 1
```

Properties
Total magnetic moment, μB per formula unit: 2.0
Raw formation energy, eV per atom: -2.23



Material: AcNdAs2O8
Method: DFT, PBE-GGA
State: optimized geometry

Cell and atoms, written as CIF:
```
data_AcNdAs2O8
_chemical_formula_sum 'Ac2 Nd2 As4 O16'
_space_group_name_H-M_alt 'I -4'
_space_group_IT_number 82
_cell_length_a 5.256
_cell_length_b 5.256
_cell_length_c 12.072
_cell_angle_alpha 90.00
_cell_angle_beta 90.00
_cell_angle_gamma 90.00
loop_
_space_group_symop_operation_xyz
'x,y,z'
'y,-x,-z'
'-x,-y,z'
'-y,x,-z'
'x+1/2,y+1/2,z+1/2'
'y+1/2,-x+1/2,-z+1/2'
'-x+1/2,-y+1/2,z+1/2'
'-y+1/2,x+1/2,-z+1/2'
loop_
_atom_site_label
_atom_site_fract_x
_atom_site_fract_y
_atom_site_fract_z
_atom_site_occupancy
Ac1 0.000 0.000 0.000 1
Nd1 0.000 0.500 0.750 1
As1 0.000 0.000 0.500 1
As2 0.000 0.500 0.250 1
O1 0.122 0.247 0.578 1
O2 0.138 0.745 0.176 1
```

Properties
Total magnetic moment, μB per formula unit: 0.0
Raw formation energy, eV per atom: -2.33